[1]
TaHg4Ru, relaxed, DFT PBE; uncorrected energy = -16.8 eV for the cell shown; N(E_F) = 0.708 states/eV per atom; total magnetic moment = 1.056 μB/f.u.; energy of formation from the pure elements = 0.917 eV per atom
1.0
3.513 1.050 4.164
-1.944 0.807 5.133
0.868 -3.821 3.928
Ta Hg Ru
1 4 1
direct
0.000 0.000 0.000
0.875 0.375 0.375
0.375 0.375 0.875
0.375 0.875 0.375
0.375 0.375 0.375
0.750 0.750 0.750

=====

[2]
TaHg2Ru, relaxed, DFT PBE; uncorrected energy = -19.5 eV for the cell shown; N(E_F) = 1.030 states/eV per atom; offset from the most stable computed form = 414 meV/atom; total magnetic moment = 0.227 μB/f.u.; energy of formation from the pure elements = 0.547 eV per atom
1.0
-3.858 -3.342 -1.087
2.190 -0.539 4.706
-1.979 1.913 1.140
Hg Ru Ta
2 1 1
direct
0.000 0.000 0.000
0.500 0.500 0.000
0.500 0.000 0.500
0.000 0.500 0.500

=====

[3]
Ta3HgRu, relaxed, DFT PBE; uncorrected energy = -40.0 eV for the cell shown; N(E_F) = 0.720 states/eV per atom; offset from the most stable computed form = 0 meV/atom; total magnetic moment = 0.000 μB/f.u.; energy of formation from the pure elements = 1.031 eV per atom
1.0
4.804 0.000 0.000
0.000 4.804 0.000
0.000 0.000 4.804
Ru Hg Ta
1 1 3
direct
0.000 0.000 0.000
0.500 0.500 0.500
0.000 0.500 0.000
0.000 0.000 0.500
0.500 0.000 0.000

=====

[4]
TaHgRu3, relaxed, DFT PBE; uncorrected energy = -33.0 eV for the cell shown; N(E_F) = 1.082 states/eV per atom; offset from the most stable computed form = 0 meV/atom; total magnetic moment = 2.765 μB/f.u.; energy of formation from the pure elements = 1.404 eV per atom
1.0
4.747 0.000 0.000
0.000 4.747 0.000
0.000 0.000 4.747
Ru Hg Ta
3 1 1
direct
0.000 0.500 0.000
0.000 0.000 0.500
0.500 0.000 0.000
0.500 0.500 0.500
0.000 0.000 0.000

=====

Question: Which value of energy of formation from the pure elements does entry 3 give?
Answer: 1.031 eV per atom

=====

Question: N(E_F) of number 3 (Ta3HgRu)?
Answer: 0.720 states/eV per atom